Entry from Alexandria: a relaxed structure of CaIBr (GGA-PBE).

extended XYZ file:
```
12
Lattice="16.4730 0.0000 0.0000 0.0000 4.4069 0.0000 -3.2497 0.0000 6.9145" Properties=species:S:1:pos:R:3 pbc="T T T"
Ca 3.2708 0.0000 1.7764
Ca 1.7160 2.2035 5.1380
Ca 11.5073 2.2035 1.7764
Ca 9.9525 0.0000 5.1380
I -0.5130 0.0000 5.5781
I 5.4998 2.2035 1.3364
I 7.7235 2.2035 5.5781
I 13.7363 0.0000 1.3364
Br 1.3994 2.2035 2.2248
Br 3.5874 0.0000 4.6897
Br 9.6359 0.0000 2.2248
Br 11.8239 2.2035 4.6897
```

E_tot, eV/atom: -3.574
SG: C2/m
Total moment, μB/atom: 0.00
Formation energy (no corrections), eV/atom: -1.83